ErSiNiGe2 (PBE, optimized geometry); symmetry = No. 65; uncorrected energy = -55.55 eV/cell
1.0
2.4687 10.5669 0.7773
-4.3054 -9.6223 2.6896
3.3652 -0.9361 2.0378
Ge Ni Si Er
4 2 2 2
Direct
0.4416 0.5584 0.0000
0.9415 0.0585 0.5000
0.0585 0.9415 0.5000
0.5584 0.4416 0.0000
0.3846 0.6154 0.5000
0.6154 0.3846 0.5000
0.2805 0.7195 0.5000
0.7195 0.2805 0.5000
0.1721 0.8279 0.0000
0.8279 0.1721 0.0000